Entry 1:
# SmDyY3Th

Crystalline SmDyY3Th at its relaxed geometry (PBE-GGA, the Alexandria database).

Geometry as POSCAR:
```
SmDyY3Th
1.0
5.0793 0.0000 0.0000
0.0000 7.9031 -1.2288
0.0000 -3.2207 10.2152
Sm Dy Y Th
2 2 6 2
Direct
0.7500 0.8784 0.7077 Sm
0.2500 0.1216 0.2923 Sm
0.7500 0.8719 0.3721 Dy
0.2500 0.1281 0.6279 Dy
0.7500 0.3822 0.2067 Y
0.7500 0.8684 0.0433 Y
0.2500 0.1316 0.9567 Y
0.7500 0.3737 0.5435 Y
0.2500 0.6263 0.4565 Y
0.2500 0.6178 0.7933 Y
0.2500 0.6221 0.1221 Th
0.7500 0.3779 0.8779 Th
```

## Properties
Calculated total energy in eV per formula unit: -35.96
Crystal system: monoclinic
Formation enthalpy at 0 K in eV per atom: 0.0284

=====

Entry 2:
# TmLu3

Crystalline TmLu3 at its relaxed geometry (PBE-GGA, the Alexandria database).

Geometry as POSCAR:
```
TmLu3
1.0
-0.0942 3.5234 -0.1280
-5.4555 -0.1624 -0.4551
-0.5133 0.2071 6.0793
Lu Tm
3 1
Direct
0.5000 0.5000 0.8336 Lu
0.0000 0.0000 0.9993 Lu
0.5000 0.0000 0.4996 Lu
0.0000 0.5000 0.3341 Tm
```

## Properties
Calculated total energy in eV per formula unit: -18.05
Crystal system: orthorhombic
Formation enthalpy at 0 K in eV per atom: -0.0048
Relative energy among the computed polymorphs in meV per atom: 0.0

=====

Entry 3:
# LiTl2Ga2

Crystalline LiTl2Ga2 at its relaxed geometry (PBE-GGA, the Alexandria database).

Geometry as POSCAR:
```
LiTl2Ga2
1.0
-0.2816 -7.4912 -2.8111
4.5174 2.1728 -6.2427
3.2030 -0.8758 2.0129
Tl Ga Li
4 4 2
Direct
0.8304 0.6696 0.0000 Tl
0.3304 0.8304 0.0000 Tl
0.6696 0.1696 0.0000 Tl
0.1696 0.3304 0.0000 Tl
0.3710 0.1290 0.5000 Ga
0.6290 0.8710 0.5000 Ga
0.1290 0.6290 0.5000 Ga
0.8710 0.3710 0.5000 Ga
0.5000 0.5000 0.0000 Li
0.0000 0.0000 0.0000 Li
```

## Properties
Calculated total energy in eV per formula unit: -12.38
Crystal system: tetragonal
Formation enthalpy at 0 K in eV per atom: 0.0636
Relative energy among the computed polymorphs in meV per atom: 61.7

=====

Entry 4:
# Pm6PrY3Er2

Crystalline Pm6PrY3Er2 at its relaxed geometry (PBE-GGA, the Alexandria database).

Geometry as POSCAR:
```
Pm6PrY3Er2
1.0
-3.6571 0.0383 5.0878
5.4469 -3.0962 0.0813
4.8428 10.6839 2.1172
Er Pr Pm Y
2 1 6 3
Direct
0.3334 0.6666 0.0000 Er
0.6666 0.3334 0.0000 Er
0.0000 0.0000 0.0000 Pr
0.5816 0.9160 0.7497 Pm
0.9160 0.5816 0.7497 Pm
0.0840 0.4184 0.2503 Pm
0.2505 0.2505 0.7498 Pm
0.4184 0.0840 0.2503 Pm
0.7495 0.7495 0.2502 Pm
0.8330 0.1670 0.5000 Y
0.1670 0.8330 0.5000 Y
0.5000 0.5000 0.5000 Y
```

## Properties
Calculated total energy in eV per formula unit: -61.64
Crystal system: monoclinic
Formation enthalpy at 0 K in eV per atom: 0.0137